Entry one
# Li2TiZnO | the Alexandria database | PBE-GGA | optimized geometry
# crystal system	tetragonal
data_Li2TiZnO
_symmetry_space_group_name_H-M 'P 4/m m m'
_symmetry_Int_Tables_number 123
_symmetry_space_group_name_Hall '-P 4 2'
_cell_length_a 5.284
_cell_length_b 5.284
_cell_length_c 5.026
_cell_angle_alpha 90.00
_cell_angle_beta 90.00
_cell_angle_gamma 90.00
loop_
_atom_site_label
_atom_site_type_symbol
_atom_site_fract_x
_atom_site_fract_y
_atom_site_fract_z
_atom_site_occupancy
Li1 Li 0.000 0.500 0.000 1
Ti1 Ti 0.000 0.000 0.000 1
Zn1 Zn 0.000 0.000 0.500 1
O1 O 0.500 0.500 0.500 1

---

Entry two
# Li2TiZnO | the Alexandria database | PBE-GGA | optimized geometry
# crystal system	tetragonal
data_Li2TiZnO
_symmetry_space_group_name_H-M 'P 4/m m m'
_symmetry_Int_Tables_number 123
_symmetry_space_group_name_Hall '-P 4 2'
_cell_length_a 4.040
_cell_length_b 4.040
_cell_length_c 3.957
_cell_angle_alpha 90.00
_cell_angle_beta 90.00
_cell_angle_gamma 90.00
loop_
_atom_site_label
_atom_site_type_symbol
_atom_site_fract_x
_atom_site_fract_y
_atom_site_fract_z
_atom_site_occupancy
Li1 Li 0.000 0.500 0.000 1
Ti1 Ti 0.000 0.000 0.500 1
Zn1 Zn 0.500 0.500 0.500 1
O1 O 0.000 0.000 0.000 1

---

Of them, entry two has the highest stability.

---

Entry one
# LiTlO2 | the Alexandria database | PBE-GGA | optimized geometry
# crystal system	trigonal
data_LiTlO2
_symmetry_space_group_name_H-M 'R 3 m'
_symmetry_Int_Tables_number 160
_symmetry_space_group_name_Hall 'R 3 -2"'
_cell_length_a 3.4996
_cell_length_b 3.4996
_cell_length_c 16.8741
_cell_angle_alpha 90.00
_cell_angle_beta 90.00
_cell_angle_gamma 120.00
loop_
_atom_site_label
_atom_site_type_symbol
_atom_site_fract_x
_atom_site_fract_y
_atom_site_fract_z
_atom_site_occupancy
Li1 Li 0.0000 0.0000 0.0000 1
Tl1 Tl 0.0000 0.0000 0.5111 1
O1 O 0.0000 0.0000 0.1196 1
O2 O 0.0000 0.0000 0.6340 1

---

Entry two
# LiTlO2 | the Alexandria database | PBE-GGA | optimized geometry
# crystal system	monoclinic
data_LiTlO2
_symmetry_space_group_name_H-M 'P 1 21/m 1'
_symmetry_Int_Tables_number 11
_cell_length_a 5.586
_cell_length_b 3.286
_cell_length_c 5.908
_cell_angle_alpha 90.00
_cell_angle_beta 113.74
_cell_angle_gamma 90.00
loop_
_symmetry_equiv_pos_as_xyz
'x,y,z'
'-x,-y,-z'
'-x,y+1/2,-z'
'x,-y+1/2,z'
loop_
_atom_site_label
_atom_site_type_symbol
_atom_site_fract_x
_atom_site_fract_y
_atom_site_fract_z
_atom_site_occupancy
Li1 Li 0.019 0.250 0.213 1
Tl1 Tl 0.470 0.250 0.738 1
O1 O 0.245 0.750 0.465 1
O2 O 0.254 0.250 0.998 1

---

Of them, entry two has the highest stability.

---

Entry one
# LiTlO2 | the Alexandria database | PBE-GGA | optimized geometry
# crystal system	orthorhombic
data_LiTlO2
_symmetry_space_group_name_H-M 'P n m a'
_symmetry_Int_Tables_number 62
_cell_length_a 5.877
_cell_length_b 3.780
_cell_length_c 9.667
_cell_angle_alpha 90.00
_cell_angle_beta 90.00
_cell_angle_gamma 90.00
loop_
_symmetry_equiv_pos_as_xyz
'x,y,z'
'-x,-y,-z'
'-x+1/2,-y,z+1/2'
'x+1/2,y,-z+1/2'
'x+1/2,-y+1/2,-z+1/2'
'-x+1/2,y+1/2,z+1/2'
'-x,y+1/2,-z'
'x,-y+1/2,z'
loop_
_atom_site_label
_atom_site_type_symbol
_atom_site_fract_x
_atom_site_fract_y
_atom_site_fract_z
_atom_site_occupancy
Li1 Li 0.061 0.250 0.085 1
Tl1 Tl 0.078 0.750 0.354 1
O1 O 0.047 0.250 0.870 1
O2 O 0.108 0.750 0.603 1

---

Entry two
# LiTlO2 | the Alexandria database | PBE-GGA | optimized geometry
# crystal system	trigonal
data_LiTlO2
_symmetry_space_group_name_H-M 'P 3 m 1'
_symmetry_Int_Tables_number 156
_cell_length_a 3.4549
_cell_length_b 3.4549
_cell_length_c 5.7678
_cell_angle_alpha 90.00
_cell_angle_beta 90.00
_cell_angle_gamma 120.00
loop_
_symmetry_equiv_pos_as_xyz
'x,y,z'
'-y,x-y,z'
'-x+y,-x,z'
'-y,-x,z'
'-x+y,y,z'
'x,x-y,z'
loop_
_atom_site_label
_atom_site_type_symbol
_atom_site_fract_x
_atom_site_fract_y
_atom_site_fract_z
_atom_site_occupancy
Li1 Li 0.0000 0.0000 0.0000 1
Tl1 Tl 0.3333 0.6667 0.5477 1
O1 O 0.3333 0.6667 0.9082 1
O2 O 0.6667 0.3333 0.3695 1

---

Entry three
# LiTlO2 | the Alexandria database | PBE-GGA | optimized geometry
# crystal system	monoclinic
data_LiTlO2
_symmetry_space_group_name_H-M 'C 1 2 1'
_symmetry_Int_Tables_number 5
_cell_length_a 11.050
_cell_length_b 3.411
_cell_length_c 5.440
_cell_angle_alpha 90.00
_cell_angle_beta 105.33
_cell_angle_gamma 90.00
loop_
_symmetry_equiv_pos_as_xyz
'x,y,z'
'-x,y,-z'
'x+1/2,y+1/2,z'
'-x+1/2,y+1/2,-z'
loop_
_atom_site_label
_atom_site_type_symbol
_atom_site_fract_x
_atom_site_fract_y
_atom_site_fract_z
_atom_site_occupancy
Li1 Li 0.140 0.000 0.360 1
Tl1 Tl 0.118 0.536 0.845 1
O1 O 0.000 0.093 0.000 1
O2 O 0.000 0.789 0.500 1
O3 O 0.247 0.574 0.245 1

---

Of them, entry one has the highest stability.

---

Entry one
# LiTl3O | the Alexandria database | PBE-GGA | optimized geometry
# crystal system	cubic
data_LiTl3O
_symmetry_space_group_name_H-M 'P m -3 m'
_symmetry_Int_Tables_number 221
_symmetry_space_group_name_Hall '-P 4 2 3'
_cell_length_a 5.025
_cell_length_b 5.025
_cell_length_c 5.025
_cell_angle_alpha 90.00
_cell_angle_beta 90.00
_cell_angle_gamma 90.00
loop_
_atom_site_label
_atom_site_type_symbol
_atom_site_fract_x
_atom_site_fract_y
_atom_site_fract_z
_atom_site_occupancy
Li1 Li 0.000 0.000 0.000 1
Tl1 Tl 0.000 0.000 0.500 1
O1 O 0.500 0.500 0.500 1

---

Entry two
# LiTl3O | the Alexandria database | PBE-GGA | optimized geometry
# crystal system	cubic
data_LiTl3O
_symmetry_space_group_name_H-M 'P m -3 m'
_symmetry_Int_Tables_number 221
_symmetry_space_group_name_Hall '-P 4 2 3'
_cell_length_a 5.107
_cell_length_b 5.107
_cell_length_c 5.107
_cell_angle_alpha 90.00
_cell_angle_beta 90.00
_cell_angle_gamma 90.00
loop_
_atom_site_label
_atom_site_type_symbol
_atom_site_fract_x
_atom_site_fract_y
_atom_site_fract_z
_atom_site_occupancy
Li1 Li 0.000 0.000 0.000 1
Tl1 Tl 0.000 0.500 0.500 1
O1 O 0.500 0.500 0.500 1

---

Of them, entry two has the highest stability.

---

Entry one
# LiUO4 | the Alexandria database | PBE-GGA | optimized geometry
# crystal system	tetragonal
data_LiUO4
_symmetry_space_group_name_H-M 'I 41 m d'
_symmetry_Int_Tables_number 109
_symmetry_space_group_name_Hall 'I 4bw -2'
_cell_length_a 7.194
_cell_length_b 7.194
_cell_length_c 6.283
_cell_angle_alpha 90.00
_cell_angle_beta 90.00
_cell_angle_gamma 90.00
loop_
_atom_site_label
_atom_site_type_symbol
_atom_site_fract_x
_atom_site_fract_y
_atom_site_fract_z
_atom_site_occupancy
Li1 Li 0.000 0.000 0.000 1
U1 U 0.000 0.000 0.505 1
O1 O 0.000 0.312 0.512 1
O2 O 0.000 0.312 0.974 1

---

Entry two
# LiUO4 | the Alexandria database | PBE-GGA | optimized geometry
# crystal system	tetragonal
data_LiUO4
_symmetry_space_group_name_H-M 'I -4'
_symmetry_Int_Tables_number 82
_cell_length_a 5.375
_cell_length_b 5.375
_cell_length_c 4.886
_cell_angle_alpha 90.00
_cell_angle_beta 90.00
_cell_angle_gamma 90.00
loop_
_symmetry_equiv_pos_as_xyz
'x,y,z'
'y,-x,-z'
'-x,-y,z'
'-y,x,-z'
'x+1/2,y+1/2,z+1/2'
'y+1/2,-x+1/2,-z+1/2'
'-x+1/2,-y+1/2,z+1/2'
'-y+1/2,x+1/2,-z+1/2'
loop_
_atom_site_label
_atom_site_type_symbol
_atom_site_fract_x
_atom_site_fract_y
_atom_site_fract_z
_atom_site_occupancy
Li1 Li 0.000 0.000 0.000 1
U1 U 0.000 0.500 0.750 1
O1 O 0.246 0.750 0.922 1

---

Of them, entry one has the highest stability.